CsCdI2Cl: relaxed, PBE-GGA.

Calculated values
Formation energy without anion corrections, eV/atom: -1.09
Total magnetic moment, Bohr magnetons per cell: 0.00
Fermi-level density of states, states/eV per atom: 0.10
Energy relative to the lowest polymorph listed for this composition, meV per atom: 32

```
data_CsCdI2Cl
_chemical_formula_sum 'Cs1 Cd1 I2 Cl1'
_cell_length_a 6.057
_cell_length_b 6.057
_cell_length_c 5.338
_cell_angle_alpha 90.00
_cell_angle_beta 90.00
_cell_angle_gamma 90.00
_symmetry_space_group_name_H-M 'P 4/m m m'
_symmetry_Int_Tables_number 123
_symmetry_space_group_name_Hall '-P 4 2'
loop_
_atom_site_label
_atom_site_fract_x
_atom_site_fract_y
_atom_site_fract_z
Cs1 0.000 0.000 0.000
Cd1 0.500 0.500 0.500
I1 0.000 0.500 0.500
Cl1 0.500 0.500 0.000
```